No. 1
VASP calculation (GGA-PBE) on a relaxed AlPb2W crystal.

Cell and atoms, written as POSCAR:
```
AlPb2W
1.0
3.327 -4.268 0.000
3.327 4.268 0.000
0.000 0.000 3.094
Al Pb W
1 2 1
Direct
0.000 0.000 0.000 Al
0.000 0.500 0.500 Pb
0.500 0.000 0.500 Pb
0.500 0.500 0.000 W
```

Results
calculated density = 11819 kg/m3
excess energy over the best structure of this formula in the dataset = 186 kJ/mol of formula units
ΔH_f (0 K) = 0.94 eV/atom
symmetry = Cmmm (65)


No. 2
VASP calculation (GGA-PBE) on a relaxed AlPb2W crystal.

Cell and atoms, written as POSCAR:
```
AlPb2W
1.0
3.228 0.000 0.000
0.000 3.228 0.000
0.000 0.000 8.838
Al Pb W
1 2 1
Direct
0.000 0.000 0.000 Al
0.500 0.500 0.273 Pb
0.500 0.500 0.727 Pb
0.000 0.000 0.500 W
```

Results
calculated density = 11271 kg/m3
excess energy over the best structure of this formula in the dataset = 152 kJ/mol of formula units
ΔH_f (0 K) = 0.85 eV/atom
symmetry = P4/mmm (123)


No. 3
VASP calculation (GGA-PBE) on a relaxed Al2PbW crystal.

Cell and atoms, written as POSCAR:
```
Al2PbW
1.0
-3.940 3.940 2.792
3.940 -3.940 2.792
3.940 3.940 -2.792
Al Pb W
4 2 2
Direct
0.073 0.125 0.448 Al
0.375 0.927 0.052 Al
0.677 0.625 0.552 Al
0.875 0.323 0.948 Al
0.250 0.750 0.500 Pb
0.500 0.500 0.000 Pb
0.000 0.000 0.000 W
0.750 0.250 0.500 W
```

Results
calculated density = 8523 kg/m3
excess energy over the best structure of this formula in the dataset = 204 kJ/mol of formula units
ΔH_f (0 K) = 0.82 eV/atom
symmetry = I-42d (122)


No. 4
VASP calculation (GGA-PBE) on a relaxed AlPb2W crystal.

Cell and atoms, written as POSCAR:
```
AlPb2W
1.0
3.396 0.000 0.000
0.000 4.925 0.000
0.000 0.000 5.228
Al Pb W
1 2 1
Direct
0.000 0.000 0.000 Al
0.000 0.500 0.500 Pb
0.500 0.500 0.000 Pb
0.500 0.000 0.500 W
```

Results
calculated density = 11875 kg/m3
excess energy over the best structure of this formula in the dataset = 189 kJ/mol of formula units
ΔH_f (0 K) = 0.94 eV/atom
symmetry = Pmmm (47)


No. 5
VASP calculation (GGA-PBE) on a relaxed Al4PbW crystal.

Cell and atoms, written as POSCAR:
```
Al4PbW
1.0
0.000 3.724 3.724
3.724 0.000 3.724
3.724 3.724 0.000
Al Pb W
4 1 1
Direct
0.377 0.377 0.377 Al
0.377 0.377 0.870 Al
0.377 0.870 0.377 Al
0.870 0.377 0.377 Al
0.000 0.000 0.000 Pb
0.750 0.750 0.750 W
```

Results
calculated density = 8019 kg/m3
ΔH_f (0 K) = 0.31 eV/atom
symmetry = F-43m (216)


No. 6
VASP calculation (GGA-PBE) on a relaxed Al2PbW crystal.

Cell and atoms, written as POSCAR:
```
Al2PbW
1.0
-2.044 2.044 4.390
2.044 -2.044 4.390
2.044 2.044 -4.390
Al Pb W
2 1 1
Direct
0.000 0.000 0.000 Al
0.750 0.250 0.500 Al
0.250 0.750 0.500 Pb
0.500 0.500 0.000 W
```

Results
calculated density = 10075 kg/m3
excess energy over the best structure of this formula in the dataset = 114 kJ/mol of formula units
ΔH_f (0 K) = 0.59 eV/atom
symmetry = I-4m2 (119)


No. 7
VASP calculation (GGA-PBE) on a relaxed AlPb2W crystal.

Cell and atoms, written as POSCAR:
```
AlPb2W
1.0
3.089 -5.241 0.000
3.089 5.241 0.000
-1.405 0.000 2.745
Al Pb W
1 2 1
Direct
0.000 0.000 0.000 Al
0.000 0.500 0.000 Pb
0.500 0.000 0.000 Pb
0.500 0.500 0.000 W
```

Results
calculated density = 11679 kg/m3
excess energy over the best structure of this formula in the dataset = 183 kJ/mol of formula units
ΔH_f (0 K) = 0.93 eV/atom
symmetry = C2/m (12)


No. 8
VASP calculation (GGA-PBE) on a relaxed Al2PbW crystal.

Cell and atoms, written as POSCAR:
```
Al2PbW
1.0
-1.811 2.322 4.367
1.811 -2.322 4.367
1.811 2.322 -4.367
Al Pb W
2 1 1
Direct
0.236 0.236 0.000 Al
0.764 0.764 0.000 Al
0.500 0.000 0.500 Pb
0.000 0.500 0.500 W
```

Results
calculated density = 10064 kg/m3
excess energy over the best structure of this formula in the dataset = 86 kJ/mol of formula units
ΔH_f (0 K) = 0.52 eV/atom
symmetry = Immm (71)


No. 9
VASP calculation (GGA-PBE) on a relaxed AlPb2W crystal.

Cell and atoms, written as POSCAR:
```
AlPb2W
1.0
-3.202 3.202 6.414
3.202 -3.202 6.414
3.202 3.202 -6.414
Al Pb W
2 4 2
Direct
0.000 0.000 0.000 Al
0.750 0.250 0.500 Al
0.139 0.625 0.014 Pb
0.375 0.389 0.514 Pb
0.611 0.125 0.986 Pb
0.875 0.861 0.486 Pb
0.250 0.750 0.500 W
0.500 0.500 0.000 W
```

Results
calculated density = 7896 kg/m3
excess energy over the best structure of this formula in the dataset = 373 kJ/mol of formula units
ΔH_f (0 K) = 1.42 eV/atom
symmetry = I-42d (122)


No. 10
VASP calculation (GGA-PBE) on a relaxed Al2PbW crystal.

Cell and atoms, written as POSCAR:
```
Al2PbW
1.0
1.737 -2.350 0.000
1.737 2.350 0.000
0.000 0.000 9.967
Al Pb W
2 1 1
Direct
0.000 0.000 0.000 Al
0.500 0.500 0.217 Al
0.000 0.000 0.548 Pb
0.500 0.500 0.799 W
```

Results
calculated density = 9083 kg/m3
excess energy over the best structure of this formula in the dataset = 69 kJ/mol of formula units
ΔH_f (0 K) = 0.47 eV/atom
symmetry = Cmm2 (35)


No. 11
VASP calculation (GGA-PBE) on a relaxed Al2PbW crystal.

Cell and atoms, written as POSCAR:
```
Al2PbW
1.0
5.008 -1.471 0.000
5.008 1.471 0.000
-0.695 0.000 5.071
Al Pb W
2 1 1
Direct
0.000 0.000 0.000 Al
0.250 0.250 0.750 Al
0.770 0.770 0.268 Pb
0.520 0.520 0.552 W
```

Results
calculated density = 9889 kg/m3
excess energy over the best structure of this formula in the dataset = 64 kJ/mol of formula units
ΔH_f (0 K) = 0.46 eV/atom
symmetry = Cm (8)


No. 12
VASP calculation (GGA-PBE) on a relaxed AlPb2W crystal.

Cell and atoms, written as POSCAR:
```
AlPb2W
1.0
-2.167 2.167 4.689
2.167 -2.167 4.689
2.167 2.167 -4.689
Al Pb W
1 2 1
Direct
0.000 0.000 0.000 Al
0.250 0.750 0.500 Pb
0.500 0.500 0.000 Pb
0.750 0.250 0.500 W
```

Results
calculated density = 11787 kg/m3
excess energy over the best structure of this formula in the dataset = 193 kJ/mol of formula units
ΔH_f (0 K) = 0.96 eV/atom
symmetry = I-4m2 (119)